No. 1
Compound: HgS2IN
Source: Alexandria
Functional: PBE-GGA
Structure: optimized geometry

Results
Energy relative to the elements, uncorrected   1426.2 meV/atom
Symmetry   P4/mmm (123)
ΔE to the lowest computed polymorph   150 meV/atom
Total magnetic moment   0.37 μB/atom

```
HgS2IN
1.0
-2.7394 -1.1885 4.2735
-1.9735 -4.1717 -2.4252
3.2282 -2.3502 1.4158
I S Hg N
1 2 1 1
Direct
0.5000 0.5000 0.5000 I
0.0000 0.5000 0.0000 S
0.5000 0.0000 0.0000 S
0.0000 0.0000 0.0000 Hg
0.0000 0.0000 0.5000 N
```

No. 2
Compound: HgS2IN
Source: Alexandria
Functional: PBE-GGA
Structure: optimized geometry

Results
Energy relative to the elements, uncorrected   1276.1 meV/atom
Symmetry   P4/mmm (123)
ΔE to the lowest computed polymorph   0 meV/atom
Total magnetic moment   0.00 μB/atom

```
HgS2IN
1.0
5.2678 0.0000 0.0000
0.0000 5.2678 0.0000
0.0000 0.0000 3.9657
I S Hg N
1 2 1 1
Direct
0.0000 0.0000 0.0000 I
0.0000 0.5000 0.0000 S
0.5000 0.0000 0.0000 S
0.5000 0.5000 0.5000 Hg
0.0000 0.0000 0.5000 N
```

No. 3
Compound: HgSb2IN
Source: Alexandria
Functional: PBE-GGA
Structure: optimized geometry

Results
Energy relative to the elements, uncorrected   779.0 meV/atom
Symmetry   P4/mmm (123)
ΔE to the lowest computed polymorph   0 meV/atom
Total magnetic moment   0.00 μB/atom

```
HgSb2IN
1.0
4.9598 0.0000 0.0000
0.0000 4.9598 0.0000
0.0000 0.0000 4.8302
I Sb Hg N
1 2 1 1
Direct
0.0000 0.0000 0.5000 I
0.0000 0.5000 0.0000 Sb
0.5000 0.0000 0.0000 Sb
0.5000 0.5000 0.5000 Hg
0.0000 0.0000 0.0000 N
```

No. 4
Compound: HgSbI2N
Source: Alexandria
Functional: PBE-GGA
Structure: optimized geometry

Results
Energy relative to the elements, uncorrected   831.7 meV/atom
Symmetry   P4/mmm (123)
ΔE to the lowest computed polymorph   277 meV/atom
Total magnetic moment   0.00 μB/atom

```
HgSbI2N
1.0
4.9905 0.0000 0.0000
0.0000 4.9905 0.0000
0.0000 0.0000 5.0917
I Sb Hg N
2 1 1 1
Direct
0.0000 0.5000 0.0000 I
0.5000 0.0000 0.0000 I
0.0000 0.0000 0.5000 Sb
0.5000 0.5000 0.5000 Hg
0.0000 0.0000 0.0000 N
```

No. 5
Compound: HgSb2IN
Source: Alexandria
Functional: PBE-GGA
Structure: optimized geometry

Results
Energy relative to the elements, uncorrected   1951.4 meV/atom
Symmetry   P4/mmm (123)
ΔE to the lowest computed polymorph   1172 meV/atom
Total magnetic moment   0.00 μB/atom

```
HgSb2IN
1.0
5.5905 0.0000 0.0000
0.0000 5.5905 0.0000
0.0000 0.0000 5.7101
I Sb Hg N
1 2 1 1
Direct
0.0000 0.0000 0.5000 I
0.0000 0.5000 0.0000 Sb
0.5000 0.0000 0.0000 Sb
0.0000 0.0000 0.0000 Hg
0.5000 0.5000 0.5000 N
```

No. 6
Compound: HgSbI2N
Source: Alexandria
Functional: PBE-GGA
Structure: optimized geometry

Results
Energy relative to the elements, uncorrected   1795.9 meV/atom
Symmetry   P4/mmm (123)
ΔE to the lowest computed polymorph   1241 meV/atom
Total magnetic moment   0.00 μB/atom

```
HgSbI2N
1.0
5.7764 0.0000 0.0000
0.0000 5.7764 0.0000
0.0000 0.0000 5.6940
I Sb Hg N
2 1 1 1
Direct
0.0000 0.5000 0.0000 I
0.5000 0.0000 0.0000 I
0.0000 0.0000 0.5000 Sb
0.0000 0.0000 0.0000 Hg
0.5000 0.5000 0.5000 N
```

No. 7
Compound: HgSbI2N
Source: Alexandria
Functional: PBE-GGA
Structure: optimized geometry

Results
Energy relative to the elements, uncorrected   554.7 meV/atom
Symmetry   P4/mmm (123)
ΔE to the lowest computed polymorph   0 meV/atom
Total magnetic moment   0.00 μB/atom

```
HgSbI2N
1.0
6.2399 0.0000 0.0000
0.0000 6.2399 0.0000
0.0000 0.0000 3.9820
I Sb Hg N
2 1 1 1
Direct
0.0000 0.5000 0.0000 I
0.5000 0.0000 0.0000 I
0.0000 0.0000 0.0000 Sb
0.5000 0.5000 0.5000 Hg
0.0000 0.0000 0.5000 N
```

No. 8
Compound: HgSbI2N
Source: Alexandria
Functional: PBE-GGA
Structure: optimized geometry

Results
Energy relative to the elements, uncorrected   1091.1 meV/atom
Symmetry   P4/mmm (123)
ΔE to the lowest computed polymorph   536 meV/atom
Total magnetic moment   0.00 μB/atom

```
HgSbI2N
1.0
-5.6145 0.3133 -2.8488
-0.9552 -6.1122 1.2103
-1.6772 0.9370 3.4085
I Sb Hg N
2 1 1 1
Direct
0.0000 0.5000 0.0000 I
0.5000 0.0000 0.0000 I
0.5000 0.5000 0.5000 Sb
0.0000 0.0000 0.0000 Hg
0.0000 0.0000 0.5000 N
```

No. 9
Compound: HgSeI2N
Source: Alexandria
Functional: PBE-GGA
Structure: optimized geometry

Results
Energy relative to the elements, uncorrected   731.2 meV/atom
Symmetry   P4/mmm (123)
ΔE to the lowest computed polymorph   0 meV/atom
Total magnetic moment   0.00 μB/atom

```
HgSeI2N
1.0
6.3801 0.0000 0.0000
0.0000 6.3801 0.0000
0.0000 0.0000 3.6704
I Hg Se N
2 1 1 1
Direct
0.0000 0.5000 0.0000 I
0.5000 0.0000 0.0000 I
0.5000 0.5000 0.5000 Hg
0.0000 0.0000 0.0000 Se
0.0000 0.0000 0.5000 N
```

No. 10
Compound: HgSeIN2
Source: Alexandria
Functional: PBE-GGA
Structure: optimized geometry

Results
Energy relative to the elements, uncorrected   1646.6 meV/atom
Symmetry   P4/mmm (123)
ΔE to the lowest computed polymorph   142 meV/atom
Total magnetic moment   0.00 μB/atom

```
HgSeIN2
1.0
-2.9619 0.4679 -2.6428
1.7860 -2.5942 -2.4610
-3.3420 -5.0121 2.8581
I Hg Se N
1 1 1 2
Direct
0.0000 0.0000 0.0000 I
0.5000 0.5000 0.5000 Hg
0.0000 0.0000 0.5000 Se
0.0000 0.5000 0.0000 N
0.5000 0.0000 0.0000 N
```

No. 11
Compound: HgSeI2N
Source: Alexandria
Functional: PBE-GGA
Structure: optimized geometry

Results
Energy relative to the elements, uncorrected   1201.2 meV/atom
Symmetry   P4/mmm (123)
ΔE to the lowest computed polymorph   470 meV/atom
Total magnetic moment   0.91 μB/atom

```
HgSeI2N
1.0
-1.0322 -5.0834 3.4348
6.0430 -0.2415 1.4587
-0.7157 2.4194 3.3656
I Hg Se N
2 1 1 1
Direct
0.0000 0.5000 0.0000 I
0.5000 0.0000 0.0000 I
0.0000 0.0000 0.0000 Hg
0.5000 0.5000 0.5000 Se
0.0000 0.0000 0.5000 N
```

No. 12
Compound: HgSe2IN
Source: Alexandria
Functional: PBE-GGA
Structure: optimized geometry

Results
Energy relative to the elements, uncorrected   1263.0 meV/atom
Symmetry   P4/mmm (123)
ΔE to the lowest computed polymorph   75 meV/atom
Total magnetic moment   0.40 μB/atom

```
HgSe2IN
1.0
-5.0121 1.0594 -1.9905
0.7517 -3.7891 -3.9094
-1.6210 -2.9262 2.5244
I Hg Se N
1 1 2 1
Direct
0.5000 0.5000 0.5000 I
0.0000 0.0000 0.0000 Hg
0.0000 0.5000 0.0000 Se
0.5000 0.0000 0.0000 Se
0.0000 0.0000 0.5000 N
```

No. 13
Compound: HgSe2IN
Source: Alexandria
Functional: PBE-GGA
Structure: optimized geometry

Results
Energy relative to the elements, uncorrected   1187.9 meV/atom
Symmetry   P4/mmm (123)
ΔE to the lowest computed polymorph   0 meV/atom
Total magnetic moment   0.00 μB/atom

```
HgSe2IN
1.0
-2.4389 4.9479 0.8120
-1.5828 0.0970 -5.3455
-3.3962 -1.8336 0.9723
I Hg Se N
1 1 2 1
Direct
0.0000 0.0000 0.0000 I
0.5000 0.5000 0.5000 Hg
0.0000 0.5000 0.0000 Se
0.5000 0.0000 0.0000 Se
0.0000 0.0000 0.5000 N
```

No. 14
Compound: HgSeIN2
Source: Alexandria
Functional: PBE-GGA
Structure: optimized geometry

Results
Energy relative to the elements, uncorrected   1504.7 meV/atom
Symmetry   P4/mmm (123)
ΔE to the lowest computed polymorph   0 meV/atom
Total magnetic moment   0.39 μB/atom

```
HgSeIN2
1.0
-1.7812 2.1698 2.9353
-2.0433 -3.2991 1.1988
5.8442 -1.8374 4.9047
I Hg Se N
1 1 1 2
Direct
0.0000 0.0000 0.5000 I
0.5000 0.5000 0.5000 Hg
0.0000 0.0000 0.0000 Se
0.0000 0.5000 0.0000 N
0.5000 0.0000 0.0000 N
```

No. 15
Compound: HgSeIN2
Source: Alexandria
Functional: PBE-GGA
Structure: optimized geometry

Results
Energy relative to the elements, uncorrected   1800.8 meV/atom
Symmetry   P4/mmm (123)
ΔE to the lowest computed polymorph   296 meV/atom
Total magnetic moment   0.79 μB/atom

```
HgSeIN2
1.0
-3.6348 2.4063 -0.0275
-2.0078 -3.0050 2.4375
1.9327 2.9798 5.2655
I Hg Se N
1 1 1 2
Direct
0.5000 0.5000 0.5000 I
0.0000 0.0000 0.0000 Hg
0.0000 0.0000 0.5000 Se
0.0000 0.5000 0.0000 N
0.5000 0.0000 0.0000 N
```

No. 16
Compound: HgSeIN2
Source: Alexandria
Functional: PBE-GGA
Structure: optimized geometry

Results
Energy relative to the elements, uncorrected   1835.3 meV/atom
Symmetry   P4/mmm (123)
ΔE to the lowest computed polymorph   331 meV/atom
Total magnetic moment   0.70 μB/atom

```
HgSeIN2
1.0
4.2417 0.0000 0.0000
0.0000 4.2417 0.0000
0.0000 0.0000 8.1668
I Hg Se N
1 1 1 2
Direct
0.0000 0.0000 0.5000 I
0.0000 0.0000 0.0000 Hg
0.5000 0.5000 0.5000 Se
0.0000 0.5000 0.0000 N
0.5000 0.0000 0.0000 N
```

No. 17
Compound: SiHgI2N
Source: Alexandria
Functional: PBE-GGA
Structure: optimized geometry

Results
Energy relative to the elements, uncorrected   1135.8 meV/atom
Symmetry   P4/mmm (123)
ΔE to the lowest computed polymorph   914 meV/atom
Total magnetic moment   0.00 μB/atom

```
SiHgI2N
1.0
5.2914 0.0000 0.0000
0.0000 4.4540 0.0000
0.0000 0.0000 5.2914
I Si Hg N
2 1 1 1
Direct
0.0000 0.0000 0.5000 I
0.5000 0.0000 0.0000 I
0.5000 0.5000 0.5000 Si
0.0000 0.5000 0.0000 Hg
0.0000 0.0000 0.0000 N
```

No. 18
Compound: SiHgI2N
Source: Alexandria
Functional: PBE-GGA
Structure: optimized geometry

Results
Energy relative to the elements, uncorrected   221.9 meV/atom
Symmetry   P4/mmm (123)
ΔE to the lowest computed polymorph   0 meV/atom
Total magnetic moment   0.03 μB/atom

```
SiHgI2N
1.0
-6.0524 0.8906 2.4081
0.7616 -5.2660 3.8617
1.2077 1.8884 2.3369
I Si Hg N
2 1 1 1
Direct
0.0000 0.5000 0.0000 I
0.5000 0.0000 0.0000 I
0.0000 0.0000 0.0000 Si
0.5000 0.5000 0.5000 Hg
0.0000 0.0000 0.5000 N
```

No. 19
Compound: SiHgI2N
Source: Alexandria
Functional: PBE-GGA
Structure: optimized geometry

Results
Energy relative to the elements, uncorrected   1253.9 meV/atom
Symmetry   P4/mmm (123)
ΔE to the lowest computed polymorph   1032 meV/atom
Total magnetic moment   0.26 μB/atom

```
SiHgI2N
1.0
-6.0930 0.8735 0.4901
-0.6333 -1.0191 -6.0571
-0.5123 -3.9789 0.7230
I Si Hg N
2 1 1 1
Direct
0.0000 0.5000 0.0000 I
0.5000 0.0000 0.0000 I
0.5000 0.5000 0.5000 Si
0.0000 0.0000 0.0000 Hg
0.0000 0.0000 0.5000 N
```

No. 20
Compound: SnHgI2N
Source: Alexandria
Functional: PBE-GGA
Structure: optimized geometry

Results
Energy relative to the elements, uncorrected   507.2 meV/atom
Symmetry   P4/mmm (123)
ΔE to the lowest computed polymorph   0 meV/atom
Total magnetic moment   0.08 μB/atom

```
SnHgI2N
1.0
-1.8139 5.8377 0.7172
-4.9933 -1.9251 3.0406
2.0067 0.2029 3.4239
I N Hg Sn
2 1 1 1
Direct
0.0000 0.5000 0.0000 I
0.5000 0.0000 0.0000 I
0.0000 0.0000 0.5000 N
0.5000 0.5000 0.5000 Hg
0.0000 0.0000 0.0000 Sn
```